The following is a DFT calculation (PBE-GGA) of a relaxed structure of KCuBiS3.

SG: Cmcm, No. 63
Total energy in hartree per atom: -0.14820
Mass density in Mg/m³: 4.5

Cell lengths 7.319, 7.319, 10.781 Å; angles 90.00, 90.00, 148.42 degrees
Positions (direct):
1 S 0.628 0.372 0.569
2 S 0.372 0.628 0.431
3 S 0.628 0.372 0.931
4 S 0.945 0.055 0.750
5 S 0.372 0.628 0.069
6 S 0.055 0.945 0.250
7 Cu 0.538 0.462 0.750
8 Cu 0.462 0.538 0.250
9 K 0.259 0.741 0.750
10 K 0.741 0.259 0.250
11 Bi 0.000 0.000 0.000
12 Bi 0.000 0.000 0.500

---

The following is a DFT calculation (PBE-GGA) of a relaxed structure of Er2TmGe4Au4.

SG: Immm, No. 71
Total energy in hartree per atom: -0.17432
Spin magnetization in μB per formula unit: 0.003
Mass density in Mg/m³: 11.8

Cell lengths 8.369, 8.369, 8.369 Å; angles 149.96, 130.21, 59.25 degrees
Positions (direct):
1 Ge 0.216 0.216 0.000
2 Ge 0.686 0.500 0.186
3 Ge 0.314 0.500 0.814
4 Ge 0.784 0.784 0.000
5 Au 0.629 0.332 0.297
6 Au 0.964 0.668 0.297
7 Au 0.036 0.332 0.703
8 Au 0.371 0.668 0.703
9 Er 0.375 0.875 0.500
10 Er 0.625 0.125 0.500
11 Tm 0.000 0.000 0.000

---

The following is a DFT calculation (PBE-GGA) of a relaxed structure of YCoAsAu.

Energy above the lowest structure with this stoichiometry in meV per atom: 193
SG: F-43m, No. 216
Total energy in hartree per atom: -0.20163
Spin magnetization in μB per formula unit: 1.333
Mass density in Mg/m³: 9.5

Cell lengths 4.695, 4.695, 4.695 Å; angles 60.00, 60.00, 60.00 degrees
Positions (direct):
1 Co 0.000 0.000 0.000
2 Y 0.250 0.250 0.250
3 As 0.500 0.500 0.500
4 Au 0.750 0.750 0.750

---

The following is a DFT calculation (PBE-GGA) of a relaxed structure of ZnSiW4C2.

SG: P-6m2, No. 187
Total energy in hartree per atom: -0.34951
Spin magnetization in μB per formula unit: 0.001
Mass density in Mg/m³: 13.4

Cell lengths 3.074, 3.074, 12.930 Å; angles 90.00, 90.00, 120.00 degrees
Positions (direct):
1 W 0.000 0.000 0.669
2 W 0.667 0.333 0.853
3 W 0.000 0.000 0.331
4 W 0.667 0.333 0.147
5 C 0.333 0.667 0.242
6 C 0.333 0.667 0.758
7 Zn 0.667 0.333 0.500
8 Si 0.000 0.000 0.000

---

The following is a DFT calculation (PBE-GGA) of a relaxed structure of GeOsPb2.

SG: F-43m, No. 216
Total energy in hartree per atom: -0.18254
Spin magnetization in μB per formula unit: 0.003
Mass density in Mg/m³: 13.1

Cell lengths 4.956, 4.956, 4.956 Å; angles 60.00, 60.00, 60.00 degrees
Positions (direct):
1 Ge 0.750 0.750 0.750
2 Pb 0.000 0.000 0.000
3 Pb 0.250 0.250 0.250
4 Os 0.500 0.500 0.500

---

The following is a DFT calculation (PBE-GGA) of a relaxed structure of Cu2Ag3.

Energy above the lowest structure with this stoichiometry in meV per atom: 30
SG: C2/m, No. 12
Total energy in hartree per atom: -0.11461
Mass density in Mg/m³: 9.6

Cell lengths 7.619, 7.619, 7.475 Å; angles 104.22, 104.22, 21.68 degrees
Positions (direct):
1 Ag 0.797 0.797 0.166
2 Ag 0.004 0.004 0.719
3 Ag 0.600 0.600 0.063
4 Ag 0.203 0.203 0.834
5 Ag 0.400 0.400 0.937
6 Ag 0.996 0.996 0.281
7 Cu 0.799 0.799 0.630
8 Cu 0.201 0.201 0.370
9 Cu 0.613 0.613 0.541
10 Cu 0.387 0.387 0.459

---

The following is a DFT calculation (PBE-GGA) of a relaxed structure of PmCu2Si2.

SG: I4/mmm, No. 139
Total energy in hartree per atom: -0.19126
Spin magnetization in μB per formula unit: 0.000
Mass density in Mg/m³: 6.7

Cell lengths 5.730, 5.730, 5.730 Å; angles 138.63, 138.63, 59.94 degrees
Positions (direct):
1 Cu 0.750 0.250 0.500
2 Cu 0.250 0.750 0.500
3 Pm 0.000 0.000 0.000
4 Si 0.380 0.380 0.000
5 Si 0.620 0.620 0.000

---

The following is a DFT calculation (PBE-GGA) of a relaxed structure of Li4SnSbPt2.

SG: P-4m2, No. 115
Total energy in hartree per atom: -0.15262
Spin magnetization in μB per formula unit: 0.007
Mass density in Mg/m³: 8.6

Cell lengths 4.473, 4.473, 6.322 Å; angles 90.00, 90.00, 90.00 degrees
Positions (direct):
1 Li 0.500 0.000 0.250
2 Li 0.000 0.000 0.000
3 Li 0.500 0.500 0.500
4 Li 0.000 0.500 0.750
5 Sn 0.500 0.500 0.000
6 Sb 0.000 0.000 0.500
7 Pt 0.000 0.500 0.250
8 Pt 0.500 0.000 0.750